! Zr2NiTe (GGA-PBE, relaxed); values from VASP
&SYSTEM
  ibrav = 0, nat = 4, ntyp = 3
/
ATOMIC_SPECIES
Zr 91.22 Zr.upf
Ni 58.69 Ni.upf
Te 127.60 Te.upf
CELL_PARAMETERS angstrom
-0.8048 3.6968 0.9075
-3.0236 -0.0978 -2.2830
-4.5647 -1.7249 2.9783
ATOMIC_POSITIONS angstrom
Zr -2.6937 1.2731 0.7653
Zr -7.2750 -1.7501 0.6772
Ni -4.2488 -0.8639 -0.2489
Te -5.5581 0.4808 1.4523
! **Final energy**: -28.207 eV per cell
! **Formation energy (no corrections)**: -0.547 eV/atom
! **SG**: Pm, No. 6


! Y2CrOs (GGA-PBE, relaxed); values from VASP
&SYSTEM
  ibrav = 0, nat = 4, ntyp = 3
/
ATOMIC_SPECIES
Os 190.23 Os.upf
Cr 52.00 Cr.upf
Y 88.91 Y.upf
CELL_PARAMETERS angstrom
6.0718 -0.0130 0.0120
3.2326 5.1398 -0.0120
-4.1551 -3.4656 2.7554
ATOMIC_POSITIONS angstrom
Os 2.1328 2.2664 1.3717
Cr 4.1659 2.2954 0.0000
Y 0.2771 0.1527 0.0000
Y 3.2258 -0.4899 1.3837
! **DFT formation energy**: 12.58 kJ/mol of atoms
! **Final energy**: -33.260 eV per cell
! **Polymorph energy (0 for the lowest one)**: 95 meV per atom
! **SG**: Imm2, No. 44


! La3PmSe6 (GGA-PBE, relaxed); values from VASP
&SYSTEM
  ibrav = 0, nat = 10, ntyp = 3
/
ATOMIC_SPECIES
Se 78.96 Se.upf
La 138.91 La.upf
Pm 145.00 Pm.upf
CELL_PARAMETERS angstrom
-5.9368 1.7421 -4.2395
-4.2992 -5.7919 -2.8278
-7.0681 -1.2644 2.9101
ATOMIC_POSITIONS angstrom
Se -9.9200 -4.1553 -4.1652
Se -9.0415 -5.0943 -0.3435
Se -8.2626 -0.2200 -3.8137
Se -11.3019 -1.8956 -1.3014
Se -6.0021 -3.4186 -2.8558
Se -7.3841 -1.1590 0.0079
La 0.0000 0.0000 0.0000
La -4.6290 -1.2365 -1.2582
La -12.6751 -4.0778 -2.8991
Pm -8.6520 -2.6571 -2.0786
! **Final energy**: -58.966 eV per cell
! **Polymorph energy (0 for the lowest one)**: 117 meV per atom
! **Formation energy (no corrections)**: -1.853 eV/atom
! **SG**: C2/m, No. 12


! Tl4H3F4 (GGA-PBE, relaxed); values from VASP
&SYSTEM
  ibrav = 0, nat = 11, ntyp = 3
/
ATOMIC_SPECIES
F 19.00 F.upf
Tl 204.38 Tl.upf
H 1.01 H.upf
CELL_PARAMETERS angstrom
6.6862 0.4894 0.0000
-2.4087 3.0391 -0.0001
0.0000 -0.0001 9.6873
ATOMIC_POSITIONS angstrom
F -0.5745 0.8060 0.0000
F -0.4486 0.7177 4.8436
F 2.2456 3.3572 2.5066
F 2.2456 3.3571 7.1804
Tl 3.6529 1.3680 4.8436
Tl -0.0148 1.1695 7.2577
Tl -0.0148 1.1697 2.4296
Tl 1.7596 2.9981 9.6871
H -1.0817 2.8049 2.4272
H 2.8199 1.3542 9.6872
H -1.0817 2.8048 7.2600
! **Final energy**: -37.624 eV per cell
! **SG**: Pm, No. 6


! LaGaIr2Br (GGA-PBE, relaxed); values from VASP
&SYSTEM
  ibrav = 0, nat = 5, ntyp = 4
/
ATOMIC_SPECIES
La 138.91 La.upf
Ga 69.72 Ga.upf
Ir 192.22 Ir.upf
Br 79.90 Br.upf
CELL_PARAMETERS angstrom
4.6469 0.0000 0.0000
0.0000 5.3560 0.0000
0.0000 0.0000 4.6469
ATOMIC_POSITIONS angstrom
La 2.3234 2.6780 2.3234
Ga 0.0000 0.0000 0.0000
Ir 2.3234 0.0000 0.0000
Ir 0.0000 0.0000 2.3234
Br 0.0000 2.6780 0.0000
! **Final energy**: -27.044 eV per cell
! **Formation energy (no corrections)**: 0.061 eV/atom
! **SG**: P4/mmm, No. 123


! Na2LiRhI (GGA-PBE, relaxed); values from VASP
&SYSTEM
  ibrav = 0, nat = 5, ntyp = 4
/
ATOMIC_SPECIES
Rh 102.91 Rh.upf
Na 22.99 Na.upf
I 126.90 I.upf
Li 6.94 Li.upf
CELL_PARAMETERS angstrom
5.4848 0.0000 0.0000
0.0000 4.3846 0.0000
0.0000 0.0000 5.4848
ATOMIC_POSITIONS angstrom
Rh 0.0000 2.1923 0.0000
Na 2.7424 0.0000 0.0000
Na 0.0000 0.0000 2.7424
I 2.7424 2.1923 2.7424
Li 0.0000 0.0000 0.0000
! **Final energy**: -12.423 eV per cell
! **Formation energy (no corrections)**: 0.206 eV/atom
! **SG**: P4/mmm, No. 123


! AcLaTb2Nd5 (GGA-PBE, relaxed); values from VASP
&SYSTEM
  ibrav = 0, nat = 18, ntyp = 4
/
ATOMIC_SPECIES
Ac 227.00 Ac.upf
Tb 158.93 Tb.upf
Nd 144.24 Nd.upf
La 138.91 La.upf
CELL_PARAMETERS angstrom
5.6948 0.0000 0.0000
-2.8474 12.1265 0.0000
0.0000 0.0000 9.6243
ATOMIC_POSITIONS angstrom
Ac 0.0000 9.6300 4.0986
Ac 2.8474 2.4965 8.9107
Tb 0.0000 2.7131 2.8077
Tb 2.8474 9.4134 7.6199
Tb 0.0000 4.1232 6.4515
Tb 2.8474 8.0033 1.6393
Nd 0.0000 9.6302 0.3232
Nd 0.0000 7.5655 7.0295
Nd 0.0000 0.1375 5.0936
Nd 0.0000 11.5267 7.2340
Nd 2.8474 2.4963 5.1353
Nd 2.8474 5.8440 8.2372
Nd 2.8474 4.5611 2.2174
Nd 2.8474 0.5998 2.4218
Nd 0.0000 6.2825 3.4251
Nd 2.8474 11.9890 0.2814
La 2.8474 6.4673 5.1520
La 0.0000 5.6592 0.3399
! **DFT formation energy**: 13.33 kJ/mol of atoms
! **Final energy**: -81.785 eV per cell
! **SG**: Cmc2_1, No. 36


! Sr2RhW (GGA-PBE, relaxed); values from VASP
&SYSTEM
  ibrav = 0, nat = 4, ntyp = 3
/
ATOMIC_SPECIES
Rh 102.91 Rh.upf
W 183.84 W.upf
Sr 87.62 Sr.upf
CELL_PARAMETERS angstrom
3.1232 0.0263 0.0000
-0.0282 3.1232 0.0000
0.0000 0.0000 9.5599
ATOMIC_POSITIONS angstrom
Rh 1.5475 1.5747 7.1699
W 1.5475 1.5747 2.3900
Sr 0.0000 0.0000 5.0363
Sr 0.0000 0.0000 9.3035
! **DFT formation energy**: 79.75 kJ/mol of atoms
! **Final energy**: -20.362 eV per cell
! **Polymorph energy (0 for the lowest one)**: 434 meV per atom
! **SG**: P4/mmm, No. 123


! K2BaZrPt (GGA-PBE, relaxed); values from VASP
&SYSTEM
  ibrav = 0, nat = 5, ntyp = 4
/
ATOMIC_SPECIES
K 39.10 K.upf
Pt 195.08 Pt.upf
Zr 91.22 Zr.upf
Ba 137.33 Ba.upf
CELL_PARAMETERS angstrom
-2.1436 5.5124 -1.2914
-2.4148 0.2264 4.9749
5.0078 2.4902 2.3174
ATOMIC_POSITIONS angstrom
K 2.5039 1.2451 1.1587
K -1.0718 2.7562 -0.6457
Pt 0.2247 4.1145 3.0005
Zr -1.2074 0.1132 2.4875
Ba 0.0000 0.0000 0.0000
! **DFT formation energy**: 152.79 kJ/mol of atoms
! **Final energy**: -10.789 eV per cell
! **SG**: P4/mmm, No. 123


! LuSnGe2 (GGA-PBE, relaxed); values from VASP
&SYSTEM
  ibrav = 0, nat = 4, ntyp = 3
/
ATOMIC_SPECIES
Ge 72.64 Ge.upf
Lu 174.97 Lu.upf
Sn 118.71 Sn.upf
CELL_PARAMETERS angstrom
-0.1418 4.0308 0.6132
-2.9083 0.4348 -3.5307
-3.5538 -0.5598 2.8584
ATOMIC_POSITIONS angstrom
Ge -1.4542 0.2174 -1.7653
Ge -1.7769 -0.2799 1.4292
Lu -3.3020 1.9529 -0.0296
Sn -0.0709 2.0154 0.3066
! **DFT formation energy**: -31.71 kJ/mol of atoms
! **Final energy**: -19.073 eV per cell
! **Polymorph energy (0 for the lowest one)**: 0 meV per atom
! **SG**: P4/mmm, No. 123


! CrFeCu (GGA-PBE, relaxed); values from VASP
&SYSTEM
  ibrav = 0, nat = 3, ntyp = 3
/
ATOMIC_SPECIES
Fe 55.84 Fe.upf
Cu 63.55 Cu.upf
Cr 52.00 Cr.upf
CELL_PARAMETERS angstrom
3.9321 0.0000 0.0000
1.9661 3.4053 0.0000
1.9661 1.1351 3.2106
ATOMIC_POSITIONS angstrom
Fe 5.8982 3.4053 2.4079
Cu 3.9321 2.2702 1.6053
Cr 0.0000 0.0000 0.0000
! **DFT formation energy**: 65.89 kJ/mol of atoms
! **Final energy**: -20.134 eV per cell
! **Polymorph energy (0 for the lowest one)**: 483 meV per atom
! **SG**: F-43m, No. 216


! Ba2CaAg2 (GGA-PBE, relaxed); values from VASP
&SYSTEM
  ibrav = 0, nat = 10, ntyp = 3
/
ATOMIC_SPECIES
Ba 137.33 Ba.upf
Ag 107.87 Ag.upf
Ca 40.08 Ca.upf
CELL_PARAMETERS angstrom
8.7595 0.0000 0.0000
0.0000 8.7595 0.0000
0.0000 0.0000 4.8379
ATOMIC_POSITIONS angstrom
Ba 7.2660 2.8863 2.4190
Ba 2.8863 1.4935 2.4190
Ba 1.4935 5.8732 2.4190
Ba 5.8732 7.2660 2.4190
Ag 5.4656 1.0859 0.0000
Ag 3.2938 7.6736 0.0000
Ag 1.0859 3.2938 0.0000
Ag 7.6736 5.4656 0.0000
Ca 0.0000 0.0000 0.0000
Ca 4.3797 4.3797 0.0000
! **DFT formation energy**: -23.16 kJ/mol of atoms
! **Final energy**: -25.499 eV per cell
! **Polymorph energy (0 for the lowest one)**: 0 meV per atom
! **SG**: P4/mbm, No. 127


! KAgPt2 (GGA-PBE, relaxed); values from VASP
&SYSTEM
  ibrav = 0, nat = 4, ntyp = 3
/
ATOMIC_SPECIES
Pt 195.08 Pt.upf
Ag 107.87 Ag.upf
K 39.10 K.upf
CELL_PARAMETERS angstrom
4.9267 -0.0349 -0.0709
4.1240 2.6956 -0.0709
1.1377 0.3345 6.7567
ATOMIC_POSITIONS angstrom
Pt 7.7426 2.2762 5.3637
Pt 1.1716 0.3444 6.0367
Ag 4.9214 1.4468 3.6994
K 2.5847 0.7598 1.5794
! **DFT formation energy**: 10.76 kJ/mol of atoms
! **Final energy**: -15.584 eV per cell
! **SG**: Cm, No. 8


! Cd2InGa2Pd5 (GGA-PBE, relaxed); values from VASP
&SYSTEM
  ibrav = 0, nat = 20, ntyp = 4
/
ATOMIC_SPECIES
Pd 106.42 Pd.upf
Cd 112.41 Cd.upf
Ga 69.72 Ga.upf
In 114.82 In.upf
CELL_PARAMETERS angstrom
-0.1710 -3.6923 -0.3923
4.9324 -1.1033 8.2339
-8.2956 -0.1417 4.9504
ATOMIC_POSITIONS angstrom
Pd -3.0172 -2.5874 8.0587
Pd 2.7877 -2.8872 8.3498
Pd -3.4313 -2.2602 5.1597
Pd -6.3219 -2.0501 4.4421
Pd 2.3807 -2.3978 3.9208
Pd 0.2179 -2.0778 1.8522
Pd -0.5170 -2.3499 4.7332
Pd -3.7521 -2.8595 10.9397
Pd -4.2333 -1.9170 2.2790
Pd -0.1029 -2.6771 7.6323
Cd 1.8905 -0.7648 6.3736
Cd -1.8837 -0.2355 3.0372
Cd -5.2537 -0.4803 6.8106
Cd -1.4796 -1.0096 10.1471
Ga -4.5736 -0.2285 4.1444
Ga 0.7915 -0.4299 3.7012
Ga 1.2104 -1.0165 9.0399
Ga -4.1547 -0.8151 9.4830
In -1.6816 -0.6225 6.5921
In 0.0000 0.0000 0.0000
! **DFT formation energy**: -42.43 kJ/mol of atoms
! **Final energy**: -81.968 eV per cell
! **SG**: P4/mbm, No. 127


! ZrCrCd2W (GGA-PBE, relaxed); values from VASP
&SYSTEM
  ibrav = 0, nat = 5, ntyp = 4
/
ATOMIC_SPECIES
Cr 52.00 Cr.upf
W 183.84 W.upf
Cd 112.41 Cd.upf
Zr 91.22 Zr.upf
CELL_PARAMETERS angstrom
-3.4967 -2.7907 2.6576
1.9966 -3.6882 -1.2459
3.0350 0.2171 4.2213
ATOMIC_POSITIONS angstrom
Cr 0.9983 -1.8441 -0.6229
W 0.0000 0.0000 0.0000
Cd 1.5175 0.1085 2.1106
Cd -1.7484 -1.3953 1.3288
Zr 0.7675 -3.1309 2.8165
! **DFT formation energy**: 122.24 kJ/mol of atoms
! **Final energy**: -26.620 eV per cell
! **SG**: P4/mmm, No. 123


! KMoP2 (GGA-PBE, relaxed); values from VASP
&SYSTEM
  ibrav = 0, nat = 4, ntyp = 3
/
ATOMIC_SPECIES
K 39.10 K.upf
P 30.97 P.upf
Mo 95.94 Mo.upf
CELL_PARAMETERS angstrom
-3.3999 -3.6399 -3.4675
-4.0737 -2.2238 3.9105
2.2691 4.5712 -3.2845
ATOMIC_POSITIONS angstrom
K -2.4338 -1.0003 -3.2653
P -0.4187 -0.3285 0.0248
P -3.3182 -2.6034 0.1967
Mo -2.7707 -0.2922 0.4237
! **DFT formation energy**: 20.36 kJ/mol of atoms
! **Final energy**: -21.904 eV per cell
! **Polymorph energy (0 for the lowest one)**: 514 meV per atom
! **SG**: Immm, No. 71


! CsUSe4 (GGA-PBE, relaxed); values from VASP
&SYSTEM
  ibrav = 0, nat = 12, ntyp = 3
/
ATOMIC_SPECIES
U 238.03 U.upf
Se 78.96 Se.upf
Cs 132.91 Cs.upf
CELL_PARAMETERS angstrom
3.9125 0.0000 0.0000
0.0000 9.9489 0.0000
0.0000 0.0000 9.0928
ATOMIC_POSITIONS angstrom
U 0.0000 8.1476 2.2732
U 0.0000 1.8013 6.8196
Se 0.0000 0.0000 0.0000
Se 1.9563 6.9456 0.6309
Se 1.9563 9.6345 6.8196
Se 1.9563 6.9456 3.9155
Se 0.0000 0.0000 4.5464
Se 1.9563 3.0033 5.1773
Se 1.9563 3.0033 8.4619
Se 1.9563 0.3144 2.2732
Cs 0.0000 3.7497 2.2732
Cs 0.0000 6.1991 6.8196
! **Final energy**: -63.170 eV per cell
! **Polymorph energy (0 for the lowest one)**: 0 meV per atom
! **Formation energy (no corrections)**: -0.918 eV/atom
! **SG**: Pmma, No. 51


! KBeS2 (GGA-PBE, relaxed); values from VASP
&SYSTEM
  ibrav = 0, nat = 4, ntyp = 3
/
ATOMIC_SPECIES
S 32.06 S.upf
K 39.10 K.upf
Be 9.01 Be.upf
CELL_PARAMETERS angstrom
-0.1145 -0.8749 4.6525
-4.1427 -0.7559 2.1659
-1.0961 -4.3316 1.5684
ATOMIC_POSITIONS angstrom
S -4.0150 -4.4719 6.2901
S -1.3383 -1.4906 2.0967
K -2.6767 -2.9812 4.1934
Be 0.0000 0.0000 0.0000
! **Final energy**: -12.035 eV per cell
! **Polymorph energy (0 for the lowest one)**: 1035 meV per atom
! **Formation energy (no corrections)**: 0.261 eV/atom
! **SG**: Fm-3m, No. 225


! NaO2F (GGA-PBE, relaxed); values from VASP
&SYSTEM
  ibrav = 0, nat = 8, ntyp = 3
/
ATOMIC_SPECIES
Na 22.99 Na.upf
O 16.00 O.upf
F 19.00 F.upf
CELL_PARAMETERS angstrom
-0.3734 -1.8275 -2.3058
2.3898 -1.5443 0.8369
-5.8501 -8.6892 5.9268
ATOMIC_POSITIONS angstrom
Na -2.6077 -6.1013 1.4433
Na 0.0000 0.0000 0.0000
O -1.3439 -3.2468 0.4741
O -2.9642 -9.2469 3.0404
O -0.0689 -3.6266 1.3876
O -3.2905 -8.0016 4.0137
F -1.2261 -5.9597 3.0146
F 1.0082 -1.6859 -0.7345
! **Final energy**: -31.352 eV per cell
! **Polymorph energy (0 for the lowest one)**: 621 meV per atom
! **Formation energy (no corrections)**: -0.642 eV/atom
! **SG**: I-42d, No. 122


! BaRe2Ag (GGA-PBE, relaxed); values from VASP
&SYSTEM
  ibrav = 0, nat = 4, ntyp = 3
/
ATOMIC_SPECIES
Re 186.21 Re.upf
Ba 137.33 Ba.upf
Ag 107.87 Ag.upf
CELL_PARAMETERS angstrom
-1.9480 -3.0944 -4.8408
3.7600 -4.4398 -1.7190
-3.6435 2.2009 4.3226
ATOMIC_POSITIONS angstrom
Re 0.4637 -2.8055 -0.1662
Re 0.1203 -0.5003 -0.4356
Ba -2.3362 -2.3577 -1.9229
Ag 0.8266 -3.4369 -2.9924
! **DFT formation energy**: 97.11 kJ/mol of atoms
! **Final energy**: -25.644 eV per cell
! **Polymorph energy (0 for the lowest one)**: 475 meV per atom
! **SG**: Imm2, No. 44


! AcTb6Pr4 (GGA-PBE, relaxed); values from VASP
&SYSTEM
  ibrav = 0, nat = 11, ntyp = 3
/
ATOMIC_SPECIES
Tb 158.93 Tb.upf
Pr 140.91 Pr.upf
Ac 227.00 Ac.upf
CELL_PARAMETERS angstrom
-2.1603 -3.9492 6.6542
-0.1762 -6.8818 -4.1414
7.3262 4.4128 0.1477
ATOMIC_POSITIONS angstrom
Tb 3.1649 -3.5601 1.5488
Tb -1.0802 -1.9746 3.3271
Tb 1.7289 -6.5959 -1.1377
Tb 0.6513 -5.0031 4.7260
Tb -0.0881 -3.4409 -2.0707
Tb 4.4341 2.3228 0.1839
Pr 4.6141 0.1050 4.7433
Pr 5.9163 -1.8197 -2.3421
Pr 0.4912 -2.0066 0.6354
Pr -1.0423 -9.1151 2.2845
Ac -1.1683 -5.4155 1.2564
! **DFT formation energy**: 39.97 kJ/mol of atoms
! **Final energy**: -46.451 eV per cell
! **Polymorph energy (0 for the lowest one)**: 94 meV per atom
! **SG**: I-42m, No. 121


! CdRe2As (GGA-PBE, relaxed); values from VASP
&SYSTEM
  ibrav = 0, nat = 4, ntyp = 3
/
ATOMIC_SPECIES
Cd 112.41 Cd.upf
Re 186.21 Re.upf
As 74.92 As.upf
CELL_PARAMETERS angstrom
-2.5364 -0.5754 -1.3857
0.2625 -2.8498 0.7029
-4.1676 1.3584 7.0640
ATOMIC_POSITIONS angstrom
Cd -4.4121 -0.6451 5.2100
Re -0.1620 0.0528 0.2745
Re -2.1161 -1.3935 1.3183
As -1.8350 0.5981 3.1104
! **DFT formation energy**: 19.05 kJ/mol of atoms
! **Final energy**: -29.671 eV per cell
! **Polymorph energy (0 for the lowest one)**: 0 meV per atom
! **SG**: P4mm, No. 99


! LaTb2NdIn4 (GGA-PBE, relaxed); values from VASP
&SYSTEM
  ibrav = 0, nat = 8, ntyp = 4
/
ATOMIC_SPECIES
In 114.82 In.upf
Nd 144.24 Nd.upf
La 138.91 La.upf
Tb 158.93 Tb.upf
CELL_PARAMETERS angstrom
5.4359 0.0000 0.0000
2.7179 4.7076 0.0000
2.7179 1.5692 8.8962
ATOMIC_POSITIONS angstrom
In 2.7179 1.5692 5.5365
In 5.4359 3.1384 1.1345
In 8.1538 4.7076 3.3597
In 5.4359 3.1384 7.7617
Nd 5.4359 3.1384 4.4481
La 0.0000 0.0000 0.0000
Tb 8.1538 4.7076 6.6705
Tb 2.7179 1.5692 2.2257
! **DFT formation energy**: -46.97 kJ/mol of atoms
! **Final energy**: -33.804 eV per cell
! **SG**: R-3m, No. 166


! RbAlGe (GGA-PBE, relaxed); values from VASP
&SYSTEM
  ibrav = 0, nat = 6, ntyp = 3
/
ATOMIC_SPECIES
Ge 72.64 Ge.upf
Al 26.98 Al.upf
Rb 85.47 Rb.upf
CELL_PARAMETERS angstrom
1.9594 -6.9342 0.0000
1.9594 6.9342 0.0000
0.0000 0.0000 6.3144
ATOMIC_POSITIONS angstrom
Ge 1.9594 0.9440 1.5786
Ge 1.9594 -0.9440 4.7358
Al 0.0000 0.0000 0.0000
Al 0.0000 0.0000 3.1572
Rb 1.9594 -2.8064 1.5786
Rb 1.9594 2.8064 4.7358
! **DFT formation energy**: 6.89 kJ/mol of atoms
! **Final energy**: -18.227 eV per cell
! **SG**: Cmcm, No. 63


! PrNd7Er2 (GGA-PBE, relaxed); values from VASP
&SYSTEM
  ibrav = 0, nat = 10, ntyp = 3
/
ATOMIC_SPECIES
Nd 144.24 Nd.upf
Er 167.26 Er.upf
Pr 140.91 Pr.upf
CELL_PARAMETERS angstrom
-1.5777 3.5021 4.3275
-7.3319 2.7604 -4.9070
-0.4062 -7.2508 5.7198
ATOMIC_POSITIONS angstrom
Nd -5.7408 0.4605 -2.4657
Nd -4.6579 -0.4941 2.5701
Nd -2.9867 2.1124 1.0700
Nd -6.3291 -3.1007 4.0702
Nd -1.9973 -4.9509 3.2785
Nd -1.3708 -0.2234 3.5494
Nd -7.9450 -0.7649 1.5908
Er -6.0712 1.5488 0.4016
Er -3.2446 -2.5371 4.7387
Pr 0.0000 0.0000 0.0000
! **DFT formation energy**: 61.16 kJ/mol of atoms
! **Final energy**: -40.941 eV per cell
! **Polymorph energy (0 for the lowest one)**: 616 meV per atom
! **SG**: Cmmm, No. 65